The following is a PBE-GGA calculation of TaPRh2 after structural relaxation, from Alexandria.

Calculated values
DFT total energy (eV/cell): -33.68
Theoretical density (Mg/m³): 11.914
Energy relative to the elements (meV/atom): -429
Space-group type: No. 99

Cell and atoms, written as extended XYZ:
```
4
Lattice="-1.784 -1.182 -1.985 1.772 -2.309 -0.217 -3.472 -3.132 4.985" Properties=species:S:1:pos:R:3 pbc="T T T"
Rh -3.326 -3.001 4.775
Rh -0.903 -2.555 0.187
P -2.674 -4.153 2.729
Ta -1.789 -1.614 2.569
```

The following is a PBE-GGA calculation of TbPm2Sm2Dy4 after structural relaxation, from Alexandria.

Calculated values
DFT total energy (eV/cell): -41.96
Theoretical density (Mg/m³): 7.890
Energy relative to the elements (meV/atom): 2
Space-group type: No. 12

Cell and atoms, written as extended XYZ:
```
9
Lattice="3.619 0.000 0.000 -1.809 9.377 -0.512 0.000 -3.699 8.884" Properties=species:S:1:pos:R:3 pbc="T T T"
Dy 1.809 -0.871 2.933
Dy 0.000 2.232 2.786
Dy 1.809 3.446 5.586
Dy 0.000 6.549 5.439
Sm 0.000 0.307 5.746
Sm 1.809 5.371 2.626
Tb 0.000 0.000 0.000
Pm 0.000 2.573 8.534
Pm 1.809 3.105 -0.162
```

The following is a PBE-GGA calculation of Cr2ReSb after structural relaxation, from Alexandria.

Calculated values
DFT total energy (eV/cell): -33.85
Formation energy without anion corrections (meV per atom): 491
Theoretical density (Mg/m³): 11.281
Space-group type: No. 47

Cell and atoms, written as extended XYZ:
```
4
Lattice="3.390 0.000 0.000 0.000 4.323 0.000 0.000 0.000 4.138" Properties=species:S:1:pos:R:3 pbc="T T T"
Sb 0.000 2.161 2.069
Cr 0.000 0.000 0.000
Cr 1.695 2.161 0.000
Re 1.695 0.000 2.069
```

The following is a PBE-GGA calculation of Ce3PmO6 after structural relaxation, from Alexandria.

Calculated values
DFT total energy (eV/cell): -170.64
Formation energy without anion corrections (meV per atom): -3302
Theoretical density (Mg/m³): 6.322
Space-group type: No. 148

Cell and atoms, written as extended XYZ:
```
20
Lattice="-3.619 4.589 -3.911 -5.717 -3.987 0.933 -1.366 3.643 5.858" Properties=species:S:1:pos:R:3 pbc="T T T"
Ce -8.696 1.333 0.589
Ce -7.195 2.506 4.438
Ce -3.507 1.739 -1.558
Ce -7.000 5.240 1.133
Ce -3.702 -0.996 1.747
Ce -2.006 2.912 2.290
O -2.755 4.489 4.113
O -5.983 3.868 2.879
O -5.174 3.118 -2.857
O -3.658 1.176 2.765
O -3.500 3.158 0.430
O -5.835 -2.148 2.448
O -5.528 1.127 5.737
O -7.044 3.069 0.115
O -7.947 -0.244 -1.233
O -4.719 0.377 0.001
O -4.867 6.393 0.432
O -7.202 1.087 2.450
Pm 0.000 0.000 0.000
Pm -5.351 2.122 1.440
```

The following is a PBE-GGA calculation of Tb12CdIn3 after structural relaxation, from Alexandria.

Calculated values
DFT total energy (eV/cell): -68.29
Theoretical density (Mg/m³): 8.539
Energy relative to the elements (meV/atom): -225
Space-group type: No. 123

Cell and atoms, written as extended XYZ:
```
16
Lattice="-1.901 2.264 3.861 -3.726 -3.125 -0.002 9.916 -11.828 11.818" Properties=species:S:1:pos:R:3 pbc="T T T"
Cd 0.000 0.000 0.000
Tb 6.814 -11.913 10.340
Tb 2.769 -3.304 6.363
Tb 1.856 -5.999 4.432
Tb 0.289 -0.346 3.407
Tb 4.334 -8.954 7.385
Tb 2.145 -6.345 7.839
Tb -0.340 -3.380 4.877
Tb -2.813 -0.430 1.930
Tb 7.727 -9.218 12.272
Tb 5.247 -6.260 9.316
Tb 4.630 -9.309 10.800
Tb -0.624 -3.041 1.476
In 4.958 -5.914 5.909
In 7.437 -8.871 8.863
In 2.479 -2.957 2.955
```

The following is a PBE-GGA calculation of CrAs4P after structural relaxation, from Alexandria.

Calculated values
DFT total energy (eV/cell): -29.18
Theoretical density (Mg/m³): 5.462
Energy relative to the elements (meV/atom): 742
Space-group type: No. 216

Cell and atoms, written as extended XYZ:
```
6
Lattice="1.579 -3.259 4.112 -0.871 1.522 5.191 -3.752 -2.605 3.027" Properties=species:S:1:pos:R:3 pbc="T T T"
As -1.141 -1.628 4.623
As -3.019 -2.932 6.137
As -1.577 -0.866 7.220
As -0.351 -3.259 6.680
P 0.000 0.000 0.000
Cr -2.283 -3.257 9.248
```

The following is a PBE-GGA calculation of SrPd3Br after structural relaxation, from Alexandria.

Calculated values
DFT total energy (eV/cell): -14.93
Formation energy without anion corrections (meV per atom): 800
Offset from the most stable computed form (meV/atom): 857
Theoretical density (Mg/m³): 5.480
Space-group type: No. 221

Cell and atoms, written as extended XYZ:
```
5
Lattice="5.284 0.000 0.000 0.000 5.284 0.000 0.000 0.000 5.284" Properties=species:S:1:pos:R:3 pbc="T T T"
Pd 0.000 0.000 2.642
Pd 2.642 0.000 0.000
Pd 0.000 2.642 0.000
Br 2.642 2.642 2.642
Sr 0.000 0.000 0.000
```

The following is a PBE-GGA calculation of MgTlB2H8 after structural relaxation, from Alexandria.

Calculated values
DFT total energy (eV/cell): -45.28
Theoretical density (Mg/m³): 3.093
Space-group type: No. 148

Cell and atoms, written as extended XYZ:
```
12
Lattice="-0.708 -3.831 -0.084 2.930 -2.533 0.432 -0.757 -2.073 10.556" Properties=species:S:1:pos:R:3 pbc="T T T"
B 0.950 -6.324 9.220
B 0.516 -2.114 1.684
H 2.510 -4.060 1.580
H -1.044 -4.377 9.324
H 1.121 -6.329 8.026
H 0.600 -3.065 9.554
H 0.344 -2.109 2.878
H 0.902 -5.159 9.607
H 0.865 -5.373 1.350
H 0.563 -3.279 1.297
Mg 0.000 0.000 0.000
Tl 0.733 -4.219 5.452
```

The following is a PBE-GGA calculation of YHo4Hg2 after structural relaxation, from Alexandria.

Calculated values
DFT total energy (eV/cell): -25.17
Theoretical density (Mg/m³): 8.574
Energy relative to the elements (meV/atom): 29
Space-group type: No. 166

Cell and atoms, written as extended XYZ:
```
7
Lattice="5.033 0.000 0.000 2.516 4.358 0.000 2.516 1.453 10.153" Properties=species:S:1:pos:R:3 pbc="T T T"
Hg 5.033 2.906 2.001
Hg 5.033 2.906 8.151
Ho 7.549 4.358 9.058
Ho 2.516 1.453 6.950
Ho 2.516 1.453 1.095
Ho 7.549 4.358 3.203
Y 5.033 2.906 5.076
```

The following is a PBE-GGA calculation of Li2SiGe after structural relaxation, from Alexandria.

Calculated values
DFT total energy (eV/cell): -26.49
Formation energy without anion corrections (meV per atom): 156
Offset from the most stable computed form (meV/atom): 385
Theoretical density (Mg/m³): 2.776
Space-group type: No. 122

Cell and atoms, written as extended XYZ:
```
8
Lattice="7.328 0.000 0.000 0.000 7.328 0.000 3.664 3.664 2.553" Properties=species:S:1:pos:R:3 pbc="T T T"
Li 5.496 5.537 1.915
Li 9.160 9.119 1.915
Li 5.455 1.832 0.638
Li 1.873 5.496 0.638
Ge 0.000 0.000 0.000
Ge 7.328 3.664 1.277
Si 3.664 7.328 1.277
Si 3.664 3.664 0.000
```

The following is a PBE-GGA calculation of Mg5Se after structural relaxation, from Alexandria.

Calculated values
DFT total energy (eV/cell): -11.16
Formation energy without anion corrections (meV per atom): 49
Theoretical density (Mg/m³): 2.358
Space-group type: No. 216

Cell and atoms, written as extended XYZ:
```
6
Lattice="-3.913 0.864 4.256 -5.650 0.703 -1.323 -3.855 -4.191 1.321" Properties=species:S:1:pos:R:3 pbc="T T T"
Mg -5.561 -1.991 3.320
Mg -8.385 -1.640 2.658
Mg -6.429 -2.071 0.531
Mg -6.458 0.455 1.998
Mg -3.354 -0.656 1.063
Se 0.000 0.000 0.000
```

The following is a PBE-GGA calculation of TaTe8Pd2 after structural relaxation, from Alexandria.

Calculated values
DFT total energy (eV/cell): -48.35
Formation energy without anion corrections (meV per atom): -89
Theoretical density (Mg/m³): 6.882
Space-group type: No. 12

Cell and atoms, written as extended XYZ:
```
11
Lattice="-5.786 -0.123 -0.223 -1.006 -8.227 1.295 -1.358 -3.168 7.648" Properties=species:S:1:pos:R:3 pbc="T T T"
Te -1.674 -4.028 3.115
Te -4.280 -1.871 1.253
Te -3.869 -9.647 7.468
Te -2.583 -7.743 3.666
Te -2.743 -5.451 6.545
Te -6.475 -7.490 5.606
Te -5.406 -6.067 2.176
Te -5.566 -3.775 5.054
Ta 0.000 0.000 0.000
Pd -6.674 -9.557 7.241
Pd -1.475 -1.961 1.480
```

The following is a PBE-GGA calculation of Pr12FeHg6 after structural relaxation, from Alexandria.

Calculated values
DFT total energy (eV/cell): -71.29
Theoretical density (Mg/m³): 8.040
Energy relative to the elements (meV/atom): -193
Space-group type: No. 148

Cell and atoms, written as extended XYZ:
```
19
Lattice="-5.188 -5.458 -3.949 5.203 -6.065 2.907 -4.668 0.284 7.101" Properties=species:S:1:pos:R:3 pbc="T T T"
Pr -4.347 -5.711 4.754
Pr -0.307 -5.527 1.305
Pr -1.348 -3.490 4.283
Pr -3.339 -2.035 7.501
Pr -7.741 -3.666 3.895
Pr -0.907 -7.211 4.614
Pr -3.747 -4.027 1.444
Pr -1.315 -9.204 -1.443
Pr 1.433 -5.537 7.471
Pr -3.306 -7.748 1.775
Pr 3.087 -7.573 2.164
Pr -6.087 -5.702 -1.412
Hg -4.501 -2.583 4.289
Hg -1.958 -5.130 6.923
Hg 1.454 -5.177 4.052
Hg -0.152 -8.656 1.769
Hg -2.695 -6.109 -0.864
Hg -6.108 -6.062 2.007
Fe 0.000 0.000 0.000
```

The following is a PBE-GGA calculation of TaIrC3 after structural relaxation, from Alexandria.

Calculated values
DFT total energy (eV/cell): -36.39
Offset from the most stable computed form (meV/atom): 261
Theoretical density (Mg/m³): 9.794
Energy relative to the elements (meV/atom): 2399
Space-group type: No. 221

Cell and atoms, written as extended XYZ:
```
5
Lattice="4.109 0.000 0.000 0.000 4.109 0.000 0.000 0.000 4.109" Properties=species:S:1:pos:R:3 pbc="T T T"
C 2.055 0.000 0.000
C 0.000 0.000 2.055
C 0.000 2.055 0.000
Ta 0.000 0.000 0.000
Ir 2.055 2.055 2.055
```

The following is a PBE-GGA calculation of Na2Li2AlH6 after structural relaxation, from Alexandria.

Calculated values
DFT total energy (eV/cell): -31.74
Theoretical density (Mg/m³): 1.104
Space-group type: No. 12

Cell and atoms, written as extended XYZ:
```
11
Lattice="5.881 -0.230 0.434 -3.106 4.998 0.434 -0.647 -1.113 4.667" Properties=species:S:1:pos:R:3 pbc="T T T"
Na -0.402 2.680 2.768
Na 2.529 0.976 2.768
Al -0.324 -0.556 2.334
H 3.243 3.002 2.188
H 1.007 4.303 2.188
H 1.705 2.930 4.249
H 1.120 -0.647 3.347
H -1.116 0.654 3.347
H 0.422 0.726 1.287
Li 4.758 0.423 0.434
Li -1.984 4.345 0.434
```

The following is a PBE-GGA calculation of Ba12AgPd5 after structural relaxation, from Alexandria.

Calculated values
DFT total energy (eV/cell): -58.63
Theoretical density (Mg/m³): 4.396
Energy relative to the elements (meV/atom): -375
Space-group type: No. 12

Cell and atoms, written as extended XYZ:
```
18
Lattice="7.982 0.000 0.005 3.991 7.112 0.003 0.004 0.000 15.223" Properties=species:S:1:pos:R:3 pbc="T T T"
Ba 5.175 0.000 13.427
Ba 5.359 4.631 13.441
Ba 1.308 0.000 9.356
Ba 9.350 2.481 13.444
Ba 6.678 0.000 5.872
Ba 6.802 7.112 1.803
Ba 5.297 2.371 9.332
Ba 2.627 4.631 1.787
Ba 9.288 4.741 9.335
Ba 6.680 4.741 5.899
Ba 6.618 2.481 1.789
Ba 2.689 2.371 5.896
Pd 3.993 0.000 7.614
Pd 7.982 4.751 0.005
Pd 3.991 2.362 0.003
Pd 3.993 4.751 7.614
Pd 7.984 2.362 7.617
Ag 0.000 0.000 0.000
```

The following is a PBE-GGA calculation of CuAg4Pt after structural relaxation, from Alexandria.

Calculated values
DFT total energy (eV/cell): -19.29
Theoretical density (Mg/m³): 10.629
Energy relative to the elements (meV/atom): 375
Space-group type: No. 216

Cell and atoms, written as extended XYZ:
```
6
Lattice="0.134 -3.911 3.636 -3.795 -3.760 0.019 1.179 -4.993 -1.490" Properties=species:S:1:pos:R:3 pbc="T T T"
Ag -0.341 -7.246 0.068
Ag -0.931 -4.749 0.812
Ag -0.864 -6.705 2.630
Ag -2.828 -6.629 0.822
Cu -1.862 -9.498 1.625
Pt 0.000 0.000 0.000
```

The following is a PBE-GGA calculation of Pm3Y2Ho8 after structural relaxation, from Alexandria.

Calculated values
DFT total energy (eV/cell): -60.75
Offset from the most stable computed form (meV/atom): 0
Theoretical density (Mg/m³): 7.312
Energy relative to the elements (meV/atom): 235
Space-group type: No. 12

Cell and atoms, written as extended XYZ:
```
13
Lattice="-6.492 -2.333 0.953 -3.300 -0.968 8.838 -6.495 5.829 3.711" Properties=species:S:1:pos:R:3 pbc="T T T"
Y -10.981 2.609 10.303
Y -5.305 -0.081 3.199
Ho -7.964 1.773 4.391
Ho -6.806 -0.691 6.249
Ho -10.139 -0.146 6.124
Ho -6.148 2.675 7.378
Ho -14.329 1.623 11.082
Ho -9.481 3.219 7.253
Ho -8.323 0.756 9.111
Ho -1.957 0.905 2.420
Pm -5.931 4.631 4.615
Pm -3.246 -1.166 0.476
Pm -3.863 0.230 7.934
```

The following is a PBE-GGA calculation of Na2As2IrPd after structural relaxation, from Alexandria.

Calculated values
DFT total energy (eV/cell): -56.60
Theoretical density (Mg/m³): 6.830
Energy relative to the elements (meV/atom): -385
Space-group type: No. 72

Cell and atoms, written as extended XYZ:
```
12
Lattice="-1.758 -5.497 -0.075 3.830 -1.167 -4.228 3.892 1.689 7.070" Properties=species:S:1:pos:R:3 pbc="T T T"
Na 3.691 0.383 3.238
Na 4.674 -3.117 1.084
Na 2.273 -5.358 -0.471
Na 1.291 -1.858 1.682
Pd 0.958 -0.292 -1.057
Pd 2.873 -0.875 -3.171
As 2.486 -2.405 -1.094
As 6.209 -0.604 1.781
As -0.244 -4.371 0.985
As 3.478 -2.571 3.860
Ir 1.994 -3.624 -3.208
Ir 0.079 -3.040 -1.095
```

The following is a PBE-GGA calculation of NaBeNiP2 after structural relaxation, from Alexandria.

Calculated values
DFT total energy (eV/cell): -23.64
Theoretical density (Mg/m³): 3.700
Energy relative to the elements (meV/atom): -398
Space-group type: No. 119

Cell and atoms, written as extended XYZ:
```
5
Lattice="-2.014 3.225 -0.382 -0.489 -0.745 -3.716 -2.689 -3.584 3.038" Properties=species:S:1:pos:R:3 pbc="T T T"
Na 0.000 0.000 0.000
P -2.982 -1.774 0.748
P -2.210 0.670 -1.808
Be -2.215 -1.545 -1.364
Ni -2.977 0.441 0.304
```